No. 1
The following is a DFT calculation (PBE) of CeCoB after structural relaxation.

The structure in CIF format:
```
data_CeCoB
_space_group_name_H-M_alt 'P 1'
_space_group_IT_number 1
_space_group_name_Hall 'P 1'
_cell_length_a 3.608
_cell_length_b 3.608
_cell_length_c 3.968
_cell_angle_alpha 90.00
_cell_angle_beta 90.00
_cell_angle_gamma 120.00
loop_
_atom_site_label
_atom_site_type_symbol
_atom_site_fract_x
_atom_site_fract_y
_atom_site_fract_z
Ce1 Ce 0.000 0.000 0.000
Co1 Co 0.667 0.333 0.500
B1 B 0.333 0.667 0.500
```

Properties
E above lowest polymorph	18	meV/atom
volume	44.7	Å³/f.u.
energy of formation from the pure elements	-0.2709	eV per atom

No. 2
The following is a DFT calculation (PBE) of Ce2CrCo3B12 after structural relaxation.

The structure in CIF format:
```
data_Ce2CrCo3B12
_space_group_name_H-M_alt 'P 1'
_space_group_IT_number 1
_space_group_name_Hall 'P 1'
_cell_length_a 8.100
_cell_length_b 8.100
_cell_length_c 8.100
_cell_angle_alpha 38.81
_cell_angle_beta 38.81
_cell_angle_gamma 38.81
loop_
_atom_site_label
_atom_site_type_symbol
_atom_site_fract_x
_atom_site_fract_y
_atom_site_fract_z
Ce1 Ce 0.142 0.142 0.142
Ce2 Ce 0.858 0.858 0.858
Cr1 Cr 0.500 0.500 0.500
Co1 Co 0.000 0.500 0.500
Co2 Co 0.500 0.000 0.500
Co3 Co 0.500 0.500 0.000
B1 B 0.158 0.158 0.477
B2 B 0.158 0.477 0.158
B3 B 0.180 0.547 0.547
B4 B 0.453 0.453 0.820
B5 B 0.453 0.820 0.453
B6 B 0.477 0.158 0.158
B7 B 0.523 0.842 0.842
B8 B 0.547 0.180 0.547
B9 B 0.547 0.547 0.180
B10 B 0.820 0.453 0.453
B11 B 0.842 0.523 0.842
B12 B 0.842 0.842 0.523
```

Properties
volume	187.7	Å³/f.u.
energy of formation from the pure elements	0.0317	eV per atom

No. 3
The following is a DFT calculation (PBE) of Ce2Fe3CoB12 after structural relaxation.

The structure in CIF format:
```
data_Ce2Fe3CoB12
_space_group_name_H-M_alt 'P 1'
_space_group_IT_number 1
_space_group_name_Hall 'P 1'
_cell_length_a 8.011
_cell_length_b 8.011
_cell_length_c 8.011
_cell_angle_alpha 39.54
_cell_angle_beta 39.54
_cell_angle_gamma 39.54
loop_
_atom_site_label
_atom_site_type_symbol
_atom_site_fract_x
_atom_site_fract_y
_atom_site_fract_z
Ce1 Ce 0.140 0.140 0.140
Ce2 Ce 0.860 0.860 0.860
Fe1 Fe 0.000 0.500 0.500
Fe2 Fe 0.500 0.000 0.500
Fe3 Fe 0.500 0.500 0.000
Co1 Co 0.500 0.500 0.500
B1 B 0.154 0.154 0.472
B2 B 0.154 0.472 0.154
B3 B 0.179 0.551 0.551
B4 B 0.449 0.449 0.821
B5 B 0.449 0.821 0.449
B6 B 0.472 0.154 0.154
B7 B 0.528 0.846 0.846
B8 B 0.551 0.179 0.551
B9 B 0.551 0.551 0.179
B10 B 0.821 0.449 0.449
B11 B 0.846 0.528 0.846
B12 B 0.846 0.846 0.528
```

Properties
volume	187.6	Å³/f.u.
energy of formation from the pure elements	-0.0372	eV per atom

No. 4
The following is a DFT calculation (PBE) of CeFeCoB2 after structural relaxation.

The structure in CIF format:
```
data_CeFeCoB2
_space_group_name_H-M_alt 'P 1'
_space_group_IT_number 1
_space_group_name_Hall 'P 1'
_cell_length_a 5.350
_cell_length_b 5.350
_cell_length_c 5.350
_cell_angle_alpha 140.38
_cell_angle_beta 140.38
_cell_angle_gamma 57.28
loop_
_atom_site_label
_atom_site_type_symbol
_atom_site_fract_x
_atom_site_fract_y
_atom_site_fract_z
Ce1 Ce 0.000 0.000 0.000
Fe1 Fe 0.750 0.250 0.500
Co1 Co 0.250 0.750 0.500
B1 B 0.341 0.341 0.000
B2 B 0.659 0.659 0.000
```

Properties
volume	61.8	Å³/f.u.
energy of formation from the pure elements	-0.4530	eV per atom

No. 5
The following is a DFT calculation (PBE) of Ce2FeCo5B2 after structural relaxation.

The structure in CIF format:
```
data_Ce2FeCo5B2
_space_group_name_H-M_alt 'P 1'
_space_group_IT_number 1
_space_group_name_Hall 'P 1'
_cell_length_a 9.022
_cell_length_b 9.022
_cell_length_c 3.091
_cell_angle_alpha 90.00
_cell_angle_beta 90.00
_cell_angle_gamma 90.00
loop_
_atom_site_label
_atom_site_type_symbol
_atom_site_fract_x
_atom_site_fract_y
_atom_site_fract_z
Ce1 Ce 0.180 0.320 0.000
Ce2 Ce 0.320 0.820 0.000
Ce3 Ce 0.680 0.180 0.000
Ce4 Ce 0.820 0.680 0.000
Fe1 Fe 0.000 0.000 0.000
Fe2 Fe 0.500 0.500 0.000
Co1 Co 0.000 0.500 0.500
Co2 Co 0.069 0.773 0.500
Co3 Co 0.227 0.069 0.500
Co4 Co 0.273 0.569 0.500
Co5 Co 0.431 0.273 0.500
Co6 Co 0.500 0.000 0.500
Co7 Co 0.569 0.727 0.500
Co8 Co 0.727 0.431 0.500
Co9 Co 0.773 0.931 0.500
Co10 Co 0.931 0.227 0.500
B1 B 0.116 0.616 0.000
B2 B 0.384 0.116 0.000
B3 B 0.616 0.884 0.000
B4 B 0.884 0.384 0.000
```

Properties
volume	125.8	Å³/f.u.
energy of formation from the pure elements	-0.2205	eV per atom

No. 6
The following is a DFT calculation (PBE) of Ce2FeCo3B12 after structural relaxation.

The structure in CIF format:
```
data_Ce2FeCo3B12
_space_group_name_H-M_alt 'P 1'
_space_group_IT_number 1
_space_group_name_Hall 'P 1'
_cell_length_a 8.021
_cell_length_b 8.021
_cell_length_c 8.021
_cell_angle_alpha 39.18
_cell_angle_beta 39.18
_cell_angle_gamma 39.18
loop_
_atom_site_label
_atom_site_type_symbol
_atom_site_fract_x
_atom_site_fract_y
_atom_site_fract_z
Ce1 Ce 0.141 0.141 0.141
Ce2 Ce 0.859 0.859 0.859
Fe1 Fe 0.500 0.500 0.500
Co1 Co 0.000 0.500 0.500
Co2 Co 0.500 0.000 0.500
Co3 Co 0.500 0.500 0.000
B1 B 0.156 0.156 0.474
B2 B 0.156 0.474 0.156
B3 B 0.180 0.549 0.549
B4 B 0.451 0.451 0.820
B5 B 0.451 0.820 0.451
B6 B 0.474 0.156 0.156
B7 B 0.526 0.844 0.844
B8 B 0.549 0.180 0.549
B9 B 0.549 0.549 0.180
B10 B 0.820 0.451 0.451
B11 B 0.844 0.526 0.844
B12 B 0.844 0.844 0.526
```

Properties
volume	185.3	Å³/f.u.
energy of formation from the pure elements	-0.0247	eV per atom

No. 7
The following is a DFT calculation (PBE) of Ce2GaCo5B2 after structural relaxation.

The structure in CIF format:
```
data_Ce2GaCo5B2
_space_group_name_H-M_alt 'P 1'
_space_group_IT_number 1
_space_group_name_Hall 'P 1'
_cell_length_a 9.020
_cell_length_b 9.020
_cell_length_c 3.134
_cell_angle_alpha 90.00
_cell_angle_beta 90.00
_cell_angle_gamma 90.00
loop_
_atom_site_label
_atom_site_type_symbol
_atom_site_fract_x
_atom_site_fract_y
_atom_site_fract_z
Ce1 Ce 0.180 0.320 0.000
Ce2 Ce 0.320 0.820 0.000
Ce3 Ce 0.680 0.180 0.000
Ce4 Ce 0.820 0.680 0.000
Ga1 Ga 0.000 0.000 0.000
Ga2 Ga 0.500 0.500 0.000
Co1 Co 0.000 0.500 0.500
Co2 Co 0.069 0.770 0.500
Co3 Co 0.230 0.069 0.500
Co4 Co 0.270 0.569 0.500
Co5 Co 0.431 0.270 0.500
Co6 Co 0.500 0.000 0.500
Co7 Co 0.569 0.730 0.500
Co8 Co 0.730 0.431 0.500
Co9 Co 0.770 0.931 0.500
Co10 Co 0.931 0.230 0.500
B1 B 0.116 0.616 0.000
B2 B 0.384 0.116 0.000
B3 B 0.616 0.884 0.000
B4 B 0.884 0.384 0.000
```

Properties
volume	127.5	Å³/f.u.
energy of formation from the pure elements	-0.3745	eV per atom

No. 8
The following is a DFT calculation (PBE) of Ce2Co3B12Ir after structural relaxation.

The structure in CIF format:
```
data_Ce2Co3B12Ir
_space_group_name_H-M_alt 'P 1'
_space_group_IT_number 1
_space_group_name_Hall 'P 1'
_cell_length_a 8.187
_cell_length_b 8.187
_cell_length_c 8.187
_cell_angle_alpha 38.97
_cell_angle_beta 38.97
_cell_angle_gamma 38.97
loop_
_atom_site_label
_atom_site_type_symbol
_atom_site_fract_x
_atom_site_fract_y
_atom_site_fract_z
Ce1 Ce 0.139 0.139 0.139
Ce2 Ce 0.861 0.861 0.861
Co1 Co 0.000 0.500 0.500
Co2 Co 0.500 0.000 0.500
Co3 Co 0.500 0.500 0.000
B1 B 0.157 0.157 0.474
B2 B 0.157 0.474 0.157
B3 B 0.165 0.553 0.553
B4 B 0.447 0.447 0.835
B5 B 0.447 0.835 0.447
B6 B 0.474 0.158 0.157
B7 B 0.526 0.843 0.843
B8 B 0.553 0.165 0.553
B9 B 0.553 0.553 0.165
B10 B 0.835 0.447 0.447
B11 B 0.843 0.526 0.843
B12 B 0.843 0.842 0.526
Ir1 Ir 0.500 0.500 0.500
```

Properties
volume	195.2	Å³/f.u.
energy of formation from the pure elements	-0.0228	eV per atom

No. 9
The following is a DFT calculation (PBE) of Ce2MgCo5B2 after structural relaxation.

The structure in CIF format:
```
data_Ce2MgCo5B2
_space_group_name_H-M_alt 'P 1'
_space_group_IT_number 1
_space_group_name_Hall 'P 1'
_cell_length_a 9.227
_cell_length_b 9.227
_cell_length_c 3.100
_cell_angle_alpha 90.00
_cell_angle_beta 90.00
_cell_angle_gamma 90.00
loop_
_atom_site_label
_atom_site_type_symbol
_atom_site_fract_x
_atom_site_fract_y
_atom_site_fract_z
Ce1 Ce 0.179 0.321 0.000
Ce2 Ce 0.321 0.821 0.000
Ce3 Ce 0.679 0.179 0.000
Ce4 Ce 0.821 0.679 0.000
Mg1 Mg 0.000 0.000 0.000
Mg2 Mg 0.500 0.500 0.000
Co1 Co 0.000 0.500 0.500
Co2 Co 0.069 0.762 0.500
Co3 Co 0.238 0.069 0.500
Co4 Co 0.262 0.569 0.500
Co5 Co 0.431 0.262 0.500
Co6 Co 0.500 0.000 0.500
Co7 Co 0.569 0.738 0.500
Co8 Co 0.738 0.431 0.500
Co9 Co 0.762 0.931 0.500
Co10 Co 0.931 0.238 0.500
B1 B 0.115 0.615 0.000
B2 B 0.385 0.115 0.000
B3 B 0.615 0.885 0.000
B4 B 0.885 0.385 0.000
```

Properties
volume	132.0	Å³/f.u.
energy of formation from the pure elements	-0.3112	eV per atom

No. 10
The following is a DFT calculation (PBE) of Ce2MnCo5B2 after structural relaxation.

The structure in CIF format:
```
data_Ce2MnCo5B2
_space_group_name_H-M_alt 'P 1'
_space_group_IT_number 1
_space_group_name_Hall 'P 1'
_cell_length_a 9.070
_cell_length_b 9.070
_cell_length_c 3.101
_cell_angle_alpha 90.00
_cell_angle_beta 90.00
_cell_angle_gamma 90.00
loop_
_atom_site_label
_atom_site_type_symbol
_atom_site_fract_x
_atom_site_fract_y
_atom_site_fract_z
Ce1 Ce 0.179 0.321 0.000
Ce2 Ce 0.321 0.821 0.000
Ce3 Ce 0.679 0.179 0.000
Ce4 Ce 0.821 0.679 0.000
Mn1 Mn 0.000 0.000 0.000
Mn2 Mn 0.500 0.500 0.000
Co1 Co 0.000 0.500 0.500
Co2 Co 0.069 0.771 0.500
Co3 Co 0.229 0.069 0.500
Co4 Co 0.271 0.569 0.500
Co5 Co 0.431 0.271 0.500
Co6 Co 0.500 0.000 0.500
Co7 Co 0.569 0.729 0.500
Co8 Co 0.729 0.431 0.500
Co9 Co 0.771 0.931 0.500
Co10 Co 0.931 0.229 0.500
B1 B 0.116 0.616 0.000
B2 B 0.384 0.116 0.000
B3 B 0.616 0.884 0.000
B4 B 0.884 0.384 0.000
```

Properties
volume	127.5	Å³/f.u.
energy of formation from the pure elements	-0.2610	eV per atom

No. 11
The following is a DFT calculation (PBE) of Ce3CoB2N6 after structural relaxation.

The structure in CIF format:
```
data_Ce3CoB2N6
_space_group_name_H-M_alt 'P 1'
_space_group_IT_number 1
_space_group_name_Hall 'P 1'
_cell_length_a 5.336
_cell_length_b 5.336
_cell_length_c 6.031
_cell_angle_alpha 90.00
_cell_angle_beta 90.00
_cell_angle_gamma 120.00
loop_
_atom_site_label
_atom_site_type_symbol
_atom_site_fract_x
_atom_site_fract_y
_atom_site_fract_z
Ce1 Ce 0.000 0.000 0.000
Ce2 Ce 0.333 0.667 0.667
Ce3 Ce 0.667 0.333 0.333
Co1 Co 0.000 0.000 0.500
B1 B 0.333 0.667 0.249
B2 B 0.667 0.333 0.751
N1 N 0.177 0.354 0.276
N2 N 0.177 0.823 0.276
N3 N 0.354 0.177 0.724
N4 N 0.646 0.823 0.276
N5 N 0.823 0.177 0.724
N6 N 0.823 0.646 0.724
```

Properties
volume	148.7	Å³/f.u.
E_tot	-8.274	eV/atom

No. 12
The following is a DFT calculation (PBE) of Ce2Co5NiB2 after structural relaxation.

The structure in CIF format:
```
data_Ce2Co5NiB2
_space_group_name_H-M_alt 'P 1'
_space_group_IT_number 1
_space_group_name_Hall 'P 1'
_cell_length_a 8.923
_cell_length_b 8.923
_cell_length_c 3.125
_cell_angle_alpha 90.00
_cell_angle_beta 90.00
_cell_angle_gamma 90.00
loop_
_atom_site_label
_atom_site_type_symbol
_atom_site_fract_x
_atom_site_fract_y
_atom_site_fract_z
Ce1 Ce 0.182 0.318 0.000
Ce2 Ce 0.318 0.818 0.000
Ce3 Ce 0.682 0.182 0.000
Ce4 Ce 0.818 0.682 0.000
Co1 Co 0.000 0.500 0.500
Co2 Co 0.068 0.772 0.500
Co3 Co 0.228 0.068 0.500
Co4 Co 0.272 0.568 0.500
Co5 Co 0.432 0.272 0.500
Co6 Co 0.500 0.000 0.500
Co7 Co 0.568 0.728 0.500
Co8 Co 0.728 0.432 0.500
Co9 Co 0.772 0.932 0.500
Co10 Co 0.932 0.228 0.500
Ni1 Ni 0.000 0.000 0.000
Ni2 Ni 0.500 0.500 0.000
B1 B 0.115 0.615 0.000
B2 B 0.385 0.115 0.000
B3 B 0.615 0.885 0.000
B4 B 0.885 0.385 0.000
```

Properties
volume	124.4	Å³/f.u.
energy of formation from the pure elements	-0.2338	eV per atom

- Look up the volume of the ninth one.
  132.0 Å³/f.u.